1.
Compound: CdAu5
Source: the Alexandria database
Functional: PBE
Structure: relaxed

extended XYZ file:
```
6
Lattice="5.5146 0.0000 0.0000 -2.7573 4.7758 0.0000 0.0000 0.0000 4.7476" Properties=species:S:1:pos:R:3 pbc="T T T"
Cd 0.0000 0.0000 0.0000
Au -1.3787 2.3879 2.3738
Au 0.0000 3.1839 0.0000
Au 2.7573 0.0000 2.3738
Au 1.3787 2.3879 2.3738
Au 2.7573 1.5919 0.0000
```

Properties
Energy relative to the elements   0.4 kJ per mole of atoms
SG   P6/mmm (191)

***

2.
Compound: CdAu2
Source: the Alexandria database
Functional: PBE
Structure: relaxed

extended XYZ file:
```
6
Lattice="-1.7847 1.7847 9.8626 1.7847 -1.7847 9.8626 1.7847 1.7847 -9.8626" Properties=species:S:1:pos:R:3 pbc="T T T"
Cd 1.7847 0.8923 2.4657
Cd 0.0000 0.8923 7.3970
Au 1.7847 -0.8923 5.9713
Au 1.7847 -0.8923 8.8226
Au 0.0000 2.6770 1.0400
Au 0.0000 2.6770 3.8913
```

Properties
Energy relative to the elements   -4.8 kJ per mole of atoms
SG   I4_1/amd (141)

***

3.
Compound: Cd4Au
Source: the Alexandria database
Functional: PBE
Structure: relaxed

extended XYZ file:
```
5
Lattice="-3.4275 3.4275 2.2280 3.4275 -3.4275 2.2280 3.4275 3.4275 -2.2280" Properties=species:S:1:pos:R:3 pbc="T T T"
Cd 4.8084 0.7131 0.0000
Cd 0.7131 2.0466 0.0000
Cd 2.7144 1.3809 2.2280
Cd -1.3809 2.7144 2.2280
Au 0.0000 0.0000 2.2280
```

Properties
Energy relative to the elements   -5.0 kJ per mole of atoms
SG   I4/m (87)

***

4.
Compound: Cd4Au
Source: the Alexandria database
Functional: PBE
Structure: relaxed

extended XYZ file:
```
10
Lattice="4.9993 -2.9983 0.0000 4.9993 2.9983 0.0000 -4.1738 0.0000 7.3376" Properties=species:S:1:pos:R:3 pbc="T T T"
Cd 1.6210 1.5023 4.5213
Cd -0.8908 0.0000 5.5141
Cd 2.2315 0.0000 1.1009
Cd 4.2038 1.5023 2.8164
Cd 1.6210 -1.5023 4.5213
Cd 3.5934 0.0000 6.2367
Cd 6.7156 0.0000 1.8235
Cd 4.2038 -1.5023 2.8164
Au 4.9993 1.5187 0.0000
Au 4.9993 -1.5187 0.0000
```

Properties
Energy relative to the elements   -2.1 kJ per mole of atoms
SG   C2/m (12)

***

5.
Compound: Cd11Au4
Source: the Alexandria database
Functional: PBE
Structure: relaxed

extended XYZ file:
```
30
Lattice="10.6451 0.0000 0.0000 0.0000 10.6451 0.0000 0.0000 0.0000 5.5620" Properties=species:S:1:pos:R:3 pbc="T T T"
Cd 0.0000 0.0000 0.0000
Cd 0.6155 2.9327 0.0000
Cd 1.0703 1.0703 2.7810
Cd 2.0150 8.6300 1.3915
Cd 2.0150 8.6300 4.1706
Cd 2.3899 5.9380 2.7810
Cd 2.9327 0.6155 0.0000
Cd 3.3075 3.3075 1.3895
Cd 3.3075 3.3075 4.1725
Cd 4.2523 6.3928 0.0000
Cd 4.7070 8.2552 2.7810
Cd 5.3225 5.3225 2.7810
Cd 5.9380 2.3899 2.7810
Cd 6.3928 4.2523 0.0000
Cd 7.3376 7.3376 1.3895
Cd 7.3376 7.3376 4.1725
Cd 7.7124 10.0296 0.0000
Cd 8.2552 4.7070 2.7810
Cd 8.6300 2.0150 1.3915
Cd 8.6300 2.0150 4.1706
Cd 9.5748 9.5748 2.7810
Cd 10.0296 7.7124 0.0000
Au 0.3855 3.8537 2.7810
Au 1.4688 5.7081 0.0000
Au 3.8537 0.3855 2.7810
Au 4.9370 9.1762 0.0000
Au 5.7081 1.4688 0.0000
Au 6.7914 10.2595 2.7810
Au 9.1762 4.9370 0.0000
Au 10.2595 6.7914 2.7810
```

Properties
Energy relative to the elements   -3.7 kJ per mole of atoms
SG   P4_2/mnm (136)

***

6.
Compound: CdAu3
Source: the Alexandria database
Functional: PBE
Structure: relaxed

extended XYZ file:
```
4
Lattice="5.2813 0.0000 0.0000 0.0000 5.2813 0.0000 0.0000 0.0000 5.2813" Properties=species:S:1:pos:R:3 pbc="T T T"
Cd 0.0000 0.0000 0.0000
Au 0.0000 0.0000 2.6406
Au 0.0000 2.6406 0.0000
Au 2.6406 0.0000 0.0000
```

Properties
Energy relative to the elements   78.7 kJ per mole of atoms
SG   Pm-3m (221)

***

7.
Compound: CdAu4
Source: the Alexandria database
Functional: PBE
Structure: relaxed

extended XYZ file:
```
5
Lattice="1.5080 0.8706 11.8201 -1.5080 0.8706 11.8201 0.0000 -1.7413 11.8201" Properties=species:S:1:pos:R:3 pbc="T T T"
Cd 0.0000 0.0000 0.0000
Au 0.0000 0.0000 7.0748
Au 0.0000 0.0000 14.2084
Au 0.0000 0.0000 21.2519
Au 0.0000 0.0000 28.3854
```

Properties
Energy relative to the elements   -2.0 kJ per mole of atoms
SG   R-3m (166)

***

8.
Compound: CdAu4
Source: the Alexandria database
Functional: PBE
Structure: relaxed

extended XYZ file:
```
5
Lattice="4.8266 -1.5651 0.0000 4.8266 1.5651 0.0000 -3.6862 0.0000 6.1460" Properties=species:S:1:pos:R:3 pbc="T T T"
Cd 0.0000 0.0000 0.0000
Au -1.0354 0.0000 4.9160
Au 1.6409 0.0000 3.6723
Au 4.3260 0.0000 2.4737
Au 7.0023 0.0000 1.2301
```

Properties
Energy relative to the elements   -7.5 kJ per mole of atoms
SG   C2/m (12)

***

9.
Compound: Cd2Au
Source: the Alexandria database
Functional: PBE
Structure: relaxed

extended XYZ file:
```
6
Lattice="-1.5869 1.5869 12.7568 1.5869 -1.5869 12.7568 1.5869 1.5869 -12.7568" Properties=species:S:1:pos:R:3 pbc="T T T"
Cd 1.5869 0.7935 1.2642
Cd 1.5869 0.7935 5.1142
Cd 0.0000 0.7935 7.6426
Cd 0.0000 0.7935 11.4926
Au 1.5869 -0.7935 9.5676
Au 0.0000 2.3804 3.1892
```

Properties
Energy relative to the elements   -9.7 kJ per mole of atoms
SG   I4_1/amd (141)

***

10.
Compound: CdAu4
Source: the Alexandria database
Functional: PBE
Structure: relaxed

extended XYZ file:
```
5
Lattice="-1.5462 2.0021 7.4904 1.5462 -2.0021 7.4904 1.5462 2.0021 -7.4904" Properties=species:S:1:pos:R:3 pbc="T T T"
Cd 0.0000 0.0000 0.0000
Au 0.0000 0.0000 3.0064
Au 0.0000 0.0000 5.9874
Au 0.0000 0.0000 8.9933
Au 0.0000 0.0000 11.9743
```

Properties
Energy relative to the elements   -7.9 kJ per mole of atoms
SG   Immm (71)

***

11.
Compound: Cd4Au3
Source: the Alexandria database
Functional: PBE
Structure: relaxed

extended XYZ file:
```
7
Lattice="5.5640 0.0000 0.0000 -2.7820 4.8186 0.0000 0.0000 0.0000 5.4190" Properties=species:S:1:pos:R:3 pbc="T T T"
Cd 0.0000 0.0000 1.3354
Cd 0.0000 0.0000 4.0835
Cd 0.0000 3.2124 0.0000
Cd 2.7820 1.6062 0.0000
Au -1.3910 2.4093 2.7095
Au 2.7820 0.0000 2.7095
Au 1.3910 2.4093 2.7095
```

Properties
Energy relative to the elements   -8.5 kJ per mole of atoms
SG   P6/mmm (191)
Energy above the lowest structure with this stoichiometry   1.81 kcal/mol of atoms

***

12.
Compound: CdAu3
Source: the Alexandria database
Functional: PBE
Structure: relaxed

extended XYZ file:
```
4
Lattice="3.1110 0.0000 0.0000 0.0000 4.8373 0.0000 0.0000 0.0000 4.9609" Properties=species:S:1:pos:R:3 pbc="T T T"
Cd 0.0000 0.0000 0.0000
Au 0.0000 2.4187 3.1845
Au 1.5555 0.0000 2.4803
Au 1.5555 2.4187 0.7160
```

Properties
Energy relative to the elements   -8.8 kJ per mole of atoms
SG   Pmm2 (25)